Record 1
First-principles (GGA-PBE) data for a relaxed Pr3Dy3Ho crystal, as listed in Alexandria.

Cell: 8.7398 8.7398 8.8795 Å, 60.52 60.52 60.00°
Fractional positions:
Pr1 0.8166 0.2970 0.8228
Pr2 0.1834 0.7030 0.1772
Pr3 0.2970 0.0636 0.8228
Pr4 0.7030 0.9364 0.1772
Pr5 0.0636 0.8166 0.8228
Pr6 0.9364 0.1834 0.1772
Ho1 0.6511 0.6511 0.0466
Ho2 0.3489 0.3489 0.9534
Dy1 0.0626 0.5704 0.6407
Dy2 0.5704 0.7263 0.6407
Dy3 0.4296 0.2737 0.3593
Dy4 0.7263 0.0626 0.6407
Dy5 0.2737 0.9374 0.3593
Dy6 0.9374 0.4296 0.3593

Results
- energy of formation (eV/atom) = 0.25
- N(E_F) (states/eV/f.u.) = 10.6
- symmetry = R-3 (148)

=====

Record 2
First-principles (GGA-PBE) data for a relaxed KSc3Fe crystal, as listed in Alexandria.

Cell: 5.0530 5.0530 5.0530 Å, 90.00 90.00 90.00°
Fractional positions:
Sc1 0.0000 0.5000 0.0000
Sc2 0.0000 0.0000 0.5000
Sc3 0.5000 0.0000 0.0000
K1 0.5000 0.5000 0.5000
Fe1 0.0000 0.0000 0.0000

Results
- energy of formation (eV/atom) = 0.26
- energy above the lowest structure with this stoichiometry (eV per atom) = 0.000
- N(E_F) (states/eV/f.u.) = 2.2
- symmetry = Pm-3m (221)

=====

Record 3
First-principles (GGA-PBE) data for a relaxed Hg4RhBr crystal, as listed in Alexandria.

Cell: 5.9002 5.9002 5.9002 Å, 60.00 60.00 60.00°
Fractional positions:
Hg1 0.3753 0.8741 0.3753
Hg2 0.3753 0.3753 0.3753
Hg3 0.3753 0.3753 0.8741
Hg4 0.8741 0.3753 0.3753
Rh1 0.7500 0.7500 0.7500
Br1 0.0000 0.0000 0.0000

Results
- VASP energy (eV per atom) = -1.1853
- N(E_F) (states/eV/f.u.) = 6.9
- symmetry = F-43m (216)

=====

Record 4
First-principles (GGA-PBE) data for a relaxed Pm5SmDy2Sc crystal, as listed in Alexandria.

Cell: 5.3632 11.2774 10.2148 Å, 90.00 90.00 103.76°
Fractional positions:
Sm1 0.3990 0.7980 0.5081
Sm2 0.6010 0.2020 0.0081
Pm1 0.7214 0.4429 0.8205
Pm2 0.5000 0.0001 0.7581
Pm3 0.2788 0.5576 0.6963
Pm4 0.2786 0.5571 0.3205
Pm5 0.7212 0.4424 0.1963
Pm6 0.3740 0.7480 0.0082
Pm7 0.9984 0.9967 0.0081
Pm8 0.0016 0.0033 0.5081
Pm9 0.5000 0.9999 0.2581
Pm10 0.6260 0.2520 0.5082
Dy1 0.8834 0.7668 0.2582
Dy2 0.1164 0.2329 0.2581
Dy3 0.1166 0.2332 0.7582
Dy4 0.8836 0.7671 0.7581
Sc1 0.2158 0.4315 0.0084
Sc2 0.7842 0.5685 0.5084

Results
- energy of formation (eV/atom) = 0.13
- N(E_F) (states/eV/f.u.) = 13.6
- symmetry = Cmcm (63)

=====

Record 5
First-principles (GGA-PBE) data for a relaxed PrGdBeGa crystal, as listed in Alexandria.

Cell: 5.0943 5.0943 5.0943 Å, 60.00 60.00 60.00°
Fractional positions:
Gd1 0.0000 0.0000 0.0000
Ga1 0.7500 0.7500 0.7500
Be1 0.2500 0.2500 0.2500
Pr1 0.5000 0.5000 0.5000

Results
- energy of formation (eV/atom) = -0.17
- N(E_F) (states/eV/f.u.) = 4.0
- symmetry = F-43m (216)

=====

Record 6
First-principles (GGA-PBE) data for a relaxed TaAlIO2 crystal, as listed in Alexandria.

Cell: 3.8298 3.8298 5.5447 Å, 90.00 90.00 90.00°
Fractional positions:
O1 0.5000 0.0000 0.0000
O2 0.0000 0.5000 0.0000
Al1 0.0000 0.0000 0.0000
Ta1 0.5000 0.5000 0.5000
I1 0.0000 0.0000 0.5000

Results
- energy above the lowest structure with this stoichiometry (eV per atom) = 0.826
- N(E_F) (states/eV/f.u.) = 3.5
- symmetry = P4/mmm (123)

=====

Record 7
First-principles (GGA-PBE) data for a relaxed AcPr2Tc crystal, as listed in Alexandria.

Cell: 4.1549 6.7241 9.6784 Å, 90.00 90.00 108.00°
Fractional positions:
Tc1 0.7583 0.5153 0.2500
Tc2 0.2417 0.4847 0.7500
Pr1 0.8513 0.7023 0.9270
Pr2 0.1487 0.2977 0.4270
Pr3 0.1487 0.2977 0.0730
Pr4 0.8513 0.7023 0.5730
Ac1 0.5760 0.1531 0.7500
Ac2 0.4240 0.8469 0.2500

Results
- energy of formation (eV/atom) = 0.07
- energy above the lowest structure with this stoichiometry (eV per atom) = 0.000
- N(E_F) (states/eV/f.u.) = 3.4
- symmetry = P2_1/m (11)

=====

Record 8
First-principles (GGA-PBE) data for a relaxed TaTe2BrN crystal, as listed in Alexandria.

Cell: 5.5826 3.9405 5.5826 Å, 90.00 90.00 90.00°
Fractional positions:
Te1 0.5000 0.0000 0.0000
Te2 0.0000 0.0000 0.5000
Br1 0.5000 0.5000 0.5000
Ta1 0.0000 0.0000 0.0000
N1 0.0000 0.5000 0.0000

Results
- energy above the lowest structure with this stoichiometry (eV per atom) = 0.000
- N(E_F) (states/eV/f.u.) = 3.9
- symmetry = P4/mmm (123)

=====

Record 9
First-principles (GGA-PBE) data for a relaxed Sr2In3Ga crystal, as listed in Alexandria.

Cell: 5.0274 6.3916 6.4090 Å, 78.58 66.91 66.84°
Fractional positions:
Sr1 0.5441 0.2039 0.7078
Sr2 0.4541 0.7943 0.2974
In1 0.1610 0.7715 0.9065
In2 0.8482 0.5997 0.7039
In3 0.8298 0.2294 0.1110
Ga1 0.1627 0.4011 0.2734

Results
- energy of formation (eV/atom) = -0.44
- energy above the lowest structure with this stoichiometry (eV per atom) = 0.000
- N(E_F) (states/eV/f.u.) = 2.1
- symmetry = Cm (8)

=====

Record 10
First-principles (GGA-PBE) data for a relaxed LuAlGa2 crystal, as listed in Alexandria.

Cell: 3.4915 3.4915 6.3813 Å, 90.00 90.00 90.00°
Fractional positions:
Lu1 0.5000 0.5000 0.5000
Ga1 0.0000 0.0000 0.2127
Ga2 0.0000 0.0000 0.7873
Al1 0.5000 0.5000 0.0000

Results
- energy of formation (eV/atom) = -0.30
- N(E_F) (states/eV/f.u.) = 2.2
- symmetry = P4/mmm (123)

=====

Record 11
First-principles (GGA-PBE) data for a relaxed Pr2HoGa3Rh4 crystal, as listed in Alexandria.

Cell: 4.3059 4.3059 10.8941 Å, 90.00 90.00 90.00°
Fractional positions:
Pr1 0.0000 0.5000 0.7770
Pr2 0.5000 0.0000 0.2230
Ga1 0.5000 0.0000 0.8837
Ga2 0.0000 0.0000 0.5000
Ga3 0.0000 0.5000 0.1163
Rh1 0.0000 0.5000 0.3481
Rh2 0.5000 0.5000 0.0000
Rh3 0.0000 0.0000 0.0000
Rh4 0.5000 0.0000 0.6519
Ho1 0.5000 0.5000 0.5000

Results
- energy of formation (eV/atom) = -0.79
- N(E_F) (states/eV/f.u.) = 6.9
- symmetry = P-4m2 (115)

=====

Record 12
First-principles (GGA-PBE) data for a relaxed Mg6GaAu5 crystal, as listed in Alexandria.

Cell: 4.6900 6.6174 8.1081 Å, 114.08 106.81 90.00°
Fractional positions:
Au1 0.3332 0.3332 0.6663
Au2 0.0000 0.5000 0.0000
Au3 0.6668 0.6668 0.3337
Au4 0.6599 0.1599 0.3197
Au5 0.3401 0.8401 0.6803
Mg1 0.5000 0.2581 0.0000
Mg2 0.1702 0.9159 0.3404
Mg3 0.5000 0.7419 0.0000
Mg4 0.8298 0.0841 0.6596
Mg5 0.1702 0.4245 0.3404
Mg6 0.8298 0.5755 0.6596
Ga1 0.0000 0.0000 0.0000

Results
- energy of formation (eV/atom) = -0.54
- N(E_F) (states/eV/f.u.) = 3.2
- symmetry = Immm (71)

=====

Record 13
First-principles (GGA-PBE) data for a relaxed PrErCu crystal, as listed in Alexandria.

Cell: 4.9190 4.9190 4.9190 Å, 60.00 60.00 60.00°
Fractional positions:
Cu1 0.2500 0.2500 0.2500
Pr1 0.5000 0.5000 0.5000
Er1 0.0000 0.0000 0.0000

Results
- energy of formation (eV/atom) = 0.09
- energy above the lowest structure with this stoichiometry (eV per atom) = 0.205
- N(E_F) (states/eV/f.u.) = 4.5
- symmetry = F-43m (216)

=====

Record 14
First-principles (GGA-PBE) data for a relaxed AsIrPt2 crystal, as listed in Alexandria.

Cell: 4.1121 2.8845 5.5918 Å, 72.05 90.00 90.00°
Fractional positions:
Pt1 0.0000 0.3945 0.4940
Pt2 0.0000 0.1055 0.0060
Ir1 0.5000 0.7500 0.7500
As1 0.5000 0.2500 0.2500

Results
- energy of formation (eV/atom) = 0.15
- N(E_F) (states/eV/f.u.) = 5.1
- symmetry = P2/m (10)

=====

Record 15
First-principles (GGA-PBE) data for a relaxed BaMg2Tl crystal, as listed in Alexandria.

Cell: 5.5934 5.5934 5.5934 Å, 119.98 119.79 90.19°
Fractional positions:
Mg1 0.9991 0.9991 0.0000
Mg2 0.7499 0.2499 0.5000
Tl1 0.5008 0.5008 0.0000
Ba1 0.2502 0.7502 0.5000

Results
- energy of formation (eV/atom) = -0.14
- energy above the lowest structure with this stoichiometry (eV per atom) = 0.047
- N(E_F) (states/eV/f.u.) = 2.3
- symmetry = Imm2 (44)

=====

Record 16
First-principles (GGA-PBE) data for a relaxed Cs3Dy2HoTe6 crystal, as listed in Alexandria.

Cell: 7.8781 7.8781 9.2966 Å, 98.12 98.12 120.00°
Fractional positions:
Cs1 0.5000 0.5000 0.5000
Cs2 0.1671 0.8329 0.5000
Cs3 0.8329 0.1671 0.5000
Dy1 0.3334 0.6666 0.0000
Dy2 0.6666 0.3334 0.0000
Te1 0.3955 0.0631 0.1893
Te2 0.6045 0.9369 0.8107
Te3 0.2692 0.2692 0.8105
Te4 0.7308 0.7308 0.1895
Te5 0.9369 0.6045 0.8107
Te6 0.0631 0.3955 0.1893
Ho1 0.0000 0.0000 0.0000

Results
- VASP energy (eV per atom) = -4.3162
- symmetry = C2/m (12)

=====

Record 17
First-principles (GGA-PBE) data for a relaxed Y2TiRu crystal, as listed in Alexandria.

Cell: 8.0963 8.0963 6.4391 Å, 51.05 51.05 90.00°
Fractional positions:
Y1 0.6807 0.1250 0.2500
Y2 0.3750 0.3193 0.7500
Y3 0.0693 0.6250 0.2500
Y4 0.8750 0.9307 0.7500
Ru1 0.7500 0.2500 0.5000
Ru2 0.0000 0.0000 0.0000
Ti1 0.5000 0.5000 0.0000
Ti2 0.2500 0.7500 0.5000

Results
- energy of formation (eV/atom) = 0.35
- energy above the lowest structure with this stoichiometry (eV per atom) = 0.276
- N(E_F) (states/eV/f.u.) = 5.0
- symmetry = I-42d (122)

=====

Record 18
First-principles (GGA-PBE) data for a relaxed NaGaF3 crystal, as listed in Alexandria.

Cell: 4.1207 4.1207 4.1207 Å, 90.00 90.00 90.00°
Fractional positions:
Na1 0.0000 0.0000 0.0000
F1 0.0000 0.5000 0.0000
F2 0.0000 0.0000 0.5000
F3 0.5000 0.0000 0.0000
Ga1 0.5000 0.5000 0.5000

Results
- energy above the lowest structure with this stoichiometry (eV per atom) = 0.889
- N(E_F) (states/eV/f.u.) = 4.5
- symmetry = Pm-3m (221)

=====

Record 19
First-principles (GGA-PBE) data for a relaxed Ba3CdCl2F6 crystal, as listed in Alexandria.

Cell: 5.3276 7.8209 8.1400 Å, 118.71 84.18 90.00°
Fractional positions:
Cl1 0.9159 0.2939 0.5878
Cl2 0.0841 0.7061 0.4122
F1 0.3080 0.6802 0.8614
F2 0.6920 0.8188 0.1386
F3 0.3080 0.1812 0.8614
F4 0.3518 0.1488 0.2977
F5 0.6482 0.8512 0.7023
F6 0.6920 0.3198 0.1386
Ba1 0.5000 0.0000 0.5000
Ba2 0.0000 0.5000 0.0000
Ba3 0.5000 0.5000 0.5000
Cd1 0.5000 0.0000 0.0000

Results
- VASP energy (eV per atom) = -4.7589
- N(E_F) (states/eV/f.u.) = 0.0
- symmetry = C2/m (12)

=====

Record 20
First-principles (GGA-PBE) data for a relaxed Tl2InBTe crystal, as listed in Alexandria.

Cell: 5.0244 5.2331 5.0244 Å, 90.00 90.00 90.00°
Fractional positions:
Tl1 0.0000 0.0000 0.5000
Tl2 0.5000 0.0000 0.0000
In1 0.5000 0.5000 0.5000
B1 0.0000 0.0000 0.0000
Te1 0.0000 0.5000 0.0000

Results
- VASP energy (eV per atom) = -2.9419
- N(E_F) (states/eV/f.u.) = 2.2
- symmetry = P4/mmm (123)

=====

Record 21
First-principles (GGA-PBE) data for a relaxed Y2Ga4Rh5 crystal, as listed in Alexandria.

Cell: 5.7152 5.5322 7.9381 Å, 79.28 68.90 58.90°
Fractional positions:
Ga1 0.2122 0.3142 0.2614
Ga2 0.4736 0.3142 0.7386
Ga3 0.5264 0.6858 0.2614
Ga4 0.7878 0.6858 0.7386
Rh1 0.5000 0.5000 0.0000
Rh2 0.0000 0.5000 0.0000
Rh3 0.2500 0.5000 0.5000
Rh4 0.5000 0.0000 0.0000
Rh5 0.7500 0.5000 0.5000
Y1 0.1218 0.0000 0.7564
Y2 0.8782 0.0000 0.2436

Results
- energy of formation (eV/atom) = -0.74
- N(E_F) (states/eV/f.u.) = 4.8
- symmetry = Fmmm (69)

=====

Record 22
First-principles (GGA-PBE) data for a relaxed TcOsRh2 crystal, as listed in Alexandria.

Cell: 4.3549 4.3549 4.3549 Å, 60.00 60.00 60.00°
Fractional positions:
Tc1 0.7500 0.7500 0.7500
Rh1 0.0000 0.0000 0.0000
Rh2 0.2500 0.2500 0.2500
Os1 0.5000 0.5000 0.5000

Results
- energy of formation (eV/atom) = 0.39
- energy above the lowest structure with this stoichiometry (eV per atom) = 0.448
- N(E_F) (states/eV/f.u.) = 3.9
- symmetry = F-43m (216)

=====

Record 23
First-principles (GGA-PBE) data for a relaxed Ho8Ag2Os crystal, as listed in Alexandria.

Cell: 6.1041 8.6409 8.6409 Å, 127.34 103.96 103.96°
Fractional positions:
Ho1 0.6529 0.3841 0.1494
Ho2 0.2834 0.6180 0.8459
Ho3 0.6529 0.1494 0.3841
Ho4 0.7546 0.7223 0.7223
Ho5 0.9953 0.1913 0.8120
Ho6 0.1366 0.2825 0.2825
Ho7 0.2834 0.8459 0.6180
Ho8 0.9953 0.8120 0.1913
Os1 0.2647 0.0057 0.0057
Ag1 0.4902 0.3002 0.7226
Ag2 0.4902 0.7226 0.3002

Results
- energy of formation (eV/atom) = -0.11
- energy above the lowest structure with this stoichiometry (eV per atom) = 0.078
- N(E_F) (states/eV/f.u.) = 12.1
- symmetry = Cm (8)